The following is a DFT calculation (PBEsol) of an optimized crystal structure of CsSnBr3.

## Properties
The energy relative to the elements, uncorrected comes out at -26 kJ/mol of formula units. The space group is No. 221. The total energy is -11.08 eV per formula unit.

a b c (Å): 6.262 6.262 6.262
angles (deg): 90.00 90.00 90.00
Fractional positions:
Cs (0.000, 0.000, 0.000)
Sn (0.500, 0.500, 0.500)
Br (0.000, 0.000, 0.500)
Br (0.000, 0.500, 0.000)
Br (0.500, 0.000, 0.000)